# 1
! Tb2LuTc | Alexandria via LeMat-Bulk | GGA-PBE | relaxed; values from VASP
! Volume = 27.2 Å³/atom
! ρ = 9.02 g/cm3
! Formation energy = 0.295 eV per atom
! Energy above the lowest structure with this stoichiometry = 243.9 meV/atom
&SYSTEM
  ibrav = 0, nat = 4, ntyp = 3
/
ATOMIC_SPECIES
Lu 174.97 Lu.upf
Tb 158.93 Tb.upf
Tc 98.00 Tc.upf
ATOMIC_POSITIONS crystal
Lu 0.000 0.000 0.000
Tb 0.896 0.896 0.311
Tb 0.104 0.104 0.689
Tc 0.500 0.500 0.500
CELL_PARAMETERS angstrom
-2.219 2.380 -1.028
-3.057 -0.923 -1.202
-5.832 0.994 9.229

---

# 2
! AcPm2Tm | Alexandria via LeMat-Bulk | GGA-PBE | relaxed; values from VASP
! Volume = 35.8 Å³/atom
! ρ = 7.95 g/cm3
! Formation energy = 0.054 eV per atom
! Energy above the lowest structure with this stoichiometry = 13.9 meV/atom
&SYSTEM
  ibrav = 0, nat = 4, ntyp = 3
/
ATOMIC_SPECIES
Tm 168.93 Tm.upf
Pm 145.00 Pm.upf
Ac 227.00 Ac.upf
ATOMIC_POSITIONS crystal
Tm 0.666 0.666 0.001
Pm 0.254 0.254 0.237
Pm 0.079 0.079 0.763
Ac 0.500 0.500 0.500
CELL_PARAMETERS angstrom
3.715 0.000 0.000
1.858 3.218 0.000
1.858 1.073 11.984

---

# 3
! Tl14SnBi | Alexandria via LeMat-Bulk | GGA-PBE | relaxed; values from VASP
! Volume = 30.8 Å³/atom
! ρ = 10.75 g/cm3
! Formation energy = 0.005 eV per atom
&SYSTEM
  ibrav = 0, nat = 16, ntyp = 3
/
ATOMIC_SPECIES
Tl 204.38 Tl.upf
Sn 118.71 Sn.upf
Bi 208.98 Bi.upf
ATOMIC_POSITIONS crystal
Tl 0.042 0.457 0.500
Tl 0.879 0.627 0.257
Tl 0.876 0.124 0.752
Tl 0.373 0.121 0.257
Tl 0.373 0.121 0.743
Tl 0.375 0.625 0.248
Tl 0.709 0.291 0.000
Tl 0.879 0.627 0.743
Tl 0.876 0.124 0.248
Tl 0.209 0.791 0.000
Tl 0.375 0.625 0.752
Tl 0.711 0.790 0.000
Tl 0.543 0.958 0.500
Tl 0.210 0.289 0.000
Sn 0.032 0.968 0.500
Bi 0.538 0.462 0.500
CELL_PARAMETERS angstrom
7.091 -0.445 0.000
-3.188 6.349 0.000
0.000 0.000 11.303

---

# 4
! ReAu3 | Alexandria via LeMat-Bulk | GGA-PBE | relaxed; values from VASP
! Volume = 17.3 Å³/atom
! ρ = 18.64 g/cm3
! Formation energy = 0.675 eV per atom
&SYSTEM
  ibrav = 0, nat = 8, ntyp = 2
/
ATOMIC_SPECIES
Re 186.21 Re.upf
Au 196.97 Au.upf
ATOMIC_POSITIONS crystal
Re 0.373 0.373 0.000
Re 0.627 0.627 0.000
Au 0.000 0.500 0.500
Au 0.500 0.000 0.500
Au 0.750 0.250 0.500
Au 0.875 0.875 0.000
Au 0.250 0.750 0.500
Au 0.125 0.125 0.000
CELL_PARAMETERS angstrom
-2.109 2.109 7.782
2.109 -2.109 7.782
2.109 2.109 -7.782

---

# 5
! Er2ThO | Alexandria via LeMat-Bulk | GGA-PBE | relaxed; values from VASP
! Volume = 22.7 Å³/atom
! ρ = 10.67 g/cm3
! Energy relative to the elements, uncorrected = -1380 meV per atom
! Energy above the lowest structure with this stoichiometry = 0.0 meV/atom
&SYSTEM
  ibrav = 0, nat = 4, ntyp = 3
/
ATOMIC_SPECIES
Er 167.26 Er.upf
Th 232.04 Th.upf
O 16.00 O.upf
ATOMIC_POSITIONS crystal
Er 0.281 0.281 0.158
Er 0.719 0.719 0.842
Th 0.500 0.500 0.500
O 0.000 0.000 0.000
CELL_PARAMETERS angstrom
-2.037 -2.546 -1.181
-0.767 -2.695 2.043
-7.940 2.487 3.241

---

# 6
! SrBeP | Alexandria via LeMat-Bulk | GGA-PBE | relaxed; values from VASP
! Volume = 19.4 Å³/atom
! ρ = 3.65 g/cm3
! Formation energy = -0.695 eV per atom
! Energy above the lowest structure with this stoichiometry = 0.0 meV/atom
&SYSTEM
  ibrav = 0, nat = 3, ntyp = 3
/
ATOMIC_SPECIES
Be 9.01 Be.upf
Sr 87.62 Sr.upf
P 30.97 P.upf
ATOMIC_POSITIONS crystal
Be 0.000 0.000 0.166
Sr 0.667 0.333 0.667
P 0.333 0.667 0.167
CELL_PARAMETERS angstrom
3.813 0.000 0.000
-1.907 3.302 0.000
0.000 0.000 4.611

---

# 7
! LiTiGa | Alexandria via LeMat-Bulk | GGA-PBE | relaxed; values from VASP
! Volume = 14.6 Å³/atom
! ρ = 4.73 g/cm3
! Formation energy = -0.113 eV per atom
! Energy above the lowest structure with this stoichiometry = 172.2 meV/atom
&SYSTEM
  ibrav = 0, nat = 12, ntyp = 3
/
ATOMIC_SPECIES
Li 6.94 Li.upf
Ga 69.72 Ga.upf
Ti 47.87 Ti.upf
ATOMIC_POSITIONS crystal
Li 0.167 0.250 0.500
Li 0.667 0.250 0.000
Li 0.333 0.750 0.000
Li 0.833 0.750 0.500
Ga 0.000 0.500 0.000
Ga 0.000 0.000 0.000
Ga 0.500 0.000 0.500
Ga 0.500 0.500 0.500
Ti 0.166 0.750 0.500
Ti 0.666 0.750 0.000
Ti 0.334 0.250 0.000
Ti 0.834 0.250 0.500
CELL_PARAMETERS angstrom
-0.524 -4.236 6.127
-3.236 -3.443 -2.657
3.452 -2.265 -1.271

---

# 8
! YPbAu2 | Alexandria via LeMat-Bulk | GGA-PBE | relaxed; values from VASP
! Volume = 26.3 Å³/atom
! ρ = 10.89 g/cm3
! Formation energy = -0.445 eV per atom
&SYSTEM
  ibrav = 0, nat = 4, ntyp = 3
/
ATOMIC_SPECIES
Au 196.97 Au.upf
Y 88.91 Y.upf
Pb 207.20 Pb.upf
ATOMIC_POSITIONS crystal
Au 0.081 0.081 0.758
Au 0.254 0.254 0.239
Y 0.667 0.667 0.000
Pb 0.499 0.499 0.502
CELL_PARAMETERS angstrom
3.957 0.000 0.000
1.978 3.427 0.000
1.978 1.142 7.759

---

# 9
! Li2TaP | Alexandria via LeMat-Bulk | GGA-PBE | relaxed; values from VASP
! Volume = 16.5 Å³/atom
! ρ = 5.67 g/cm3
! Formation energy = -0.113 eV per atom
&SYSTEM
  ibrav = 0, nat = 4, ntyp = 3
/
ATOMIC_SPECIES
Li 6.94 Li.upf
Ta 180.95 Ta.upf
P 30.97 P.upf
ATOMIC_POSITIONS crystal
Li 0.500 0.500 0.290
Li 0.000 0.000 0.995
Ta 0.500 0.500 0.716
P 0.000 0.000 0.499
CELL_PARAMETERS angstrom
-1.675 -0.330 2.469
2.258 -1.956 0.291
4.153 5.320 3.528

---

# 10
! BaMg3Cd4 | Alexandria via LeMat-Bulk | GGA-PBE | relaxed; values from VASP
! Volume = 28.4 Å³/atom
! ρ = 4.82 g/cm3
! Formation energy = -0.072 eV per atom
&SYSTEM
  ibrav = 0, nat = 8, ntyp = 3
/
ATOMIC_SPECIES
Cd 112.41 Cd.upf
Mg 24.30 Mg.upf
Ba 137.33 Ba.upf
ATOMIC_POSITIONS crystal
Cd 0.500 0.000 0.171
Cd 0.500 0.000 0.829
Cd 0.000 0.500 0.829
Cd 0.000 0.500 0.171
Mg 0.000 0.000 0.000
Mg 0.500 0.500 0.338
Mg 0.500 0.500 0.662
Ba 0.000 0.000 0.500
CELL_PARAMETERS angstrom
4.999 0.000 0.000
0.000 4.999 0.000
0.000 0.000 9.100